A relaxed Zn2Ga5Ag2 crystal, computed with PBE.

Unit cell a=6.6449 b=6.7936 c=8.8628 alpha=112.54 beta=112.02 gamma=90.00
Sites, in units of the cell vectors:
Zn 0.5000 0.3429 0.0000
Ga 0.0914 0.8722 0.5000
Zn 0.7224 0.0053 0.5000
Ga 0.0769 0.0893 0.8533
Ga 0.7154 0.7246 0.6719
Ag 0.4343 0.9113 0.8095
Ag 0.8752 0.4113 0.8095
Ga 0.9086 0.3722 0.5000
Zn 0.0000 0.8429 0.0000
Ga 0.4566 0.2246 0.6719
Ga 0.9231 0.2360 0.1467
Ag 0.5657 0.1018 0.1905
Ag 0.1248 0.6018 0.1905
Ga 0.2764 0.5893 0.8533
Ga 0.5434 0.5526 0.3281
Zn 0.2776 0.5053 0.5000
Ga 0.2846 0.0526 0.3281
Ga 0.7236 0.7360 0.1467

Results
Fermi-level density of states	3.56	states/eV/f.u.
energy relative to the elements	0.065	eV/atom
magnetic moment	0.00	μB per formula unit
raw total energy	-2.53	eV/atom
crystal system	orthorhombic
offset from the most stable computed form	0.041	eV/atom
calculated volume	337.7	Å³/cell